#A
This record from Alexandria describes a relaxed Mg2ZrMo crystal. The functional is PBE.

## Properties
DOS at the Fermi energy = 0.99 states/eV/atom

Lattice parameters (Å, degrees): 4.0113 4.0113 4.8530 90.00 90.00 90.00
Element x y z (fractional)
Mo1 0.5000 0.0000 0.5000
Mg1 0.5000 0.5000 0.0000
Mg2 0.0000 0.0000 0.0000
Zr1 0.0000 0.5000 0.5000

---

#B
This record from Alexandria describes a relaxed Mg2ZrMo crystal. The functional is PBE.

## Properties
DOS at the Fermi energy = 0.87 states/eV/atom

Lattice parameters (Å, degrees): 3.4735 3.4735 6.8931 90.00 90.00 90.00
Element x y z (fractional)
Mg1 0.5000 0.5000 0.2729
Zr1 0.5000 0.5000 0.7056
Mg2 0.0000 0.0000 0.9986
Mo1 0.0000 0.0000 0.5229

---

The winner here is #B, beating the second structure by 0.031 eV/atom.

---

#A
This record from Alexandria describes a relaxed MgZrMo3 crystal. The functional is PBE.

## Properties
DOS at the Fermi energy = 1.10 states/eV/atom

Lattice parameters (Å, degrees): 4.8470 4.8470 4.8470 90.00 90.00 90.00
Element x y z (fractional)
Mo1 0.5000 0.0000 0.0000
Mo2 0.0000 0.0000 0.5000
Mo3 0.0000 0.5000 0.0000
Zr1 0.0000 0.0000 0.0000
Mg1 0.5000 0.5000 0.5000

---

#B
This record from Alexandria describes a relaxed MgZrMo3 crystal. The functional is PBE.

## Properties
DOS at the Fermi energy = 1.72 states/eV/atom

Lattice parameters (Å, degrees): 4.6220 4.6220 4.6220 90.00 90.00 90.00
Element x y z (fractional)
Zr1 0.5000 0.5000 0.5000
Mg1 0.0000 0.0000 0.0000
Mo1 0.0000 0.5000 0.0000
Mo2 0.0000 0.0000 0.5000
Mo3 0.5000 0.0000 0.0000

---

The winner here is #B, beating the second structure by 0.074 eV/atom.

---

#A
This record from Alexandria describes a relaxed Mg6ZrMo crystal. The functional is PBE.

## Properties
DOS at the Fermi energy = 0.49 states/eV/atom

Lattice parameters (Å, degrees): 6.3603 6.3603 4.9222 90.00 90.00 122.63
Element x y z (fractional)
Mg1 0.8243 0.1757 0.5000
Mg2 0.6750 0.8161 0.0000
Mg3 0.3188 0.1732 0.5000
Mg4 0.6701 0.3299 0.0000
Zr1 0.2002 0.7998 0.0000
Mg5 0.1839 0.3250 0.0000
Mg6 0.8268 0.6812 0.5000
Mo1 0.3008 0.6992 0.5000

---

#B
This record from Alexandria describes a relaxed Mg6ZrMo crystal. The functional is PBE.

## Properties
DOS at the Fermi energy = 0.86 states/eV/atom

Lattice parameters (Å, degrees): 6.3622 6.3622 5.0484 90.00 90.00 125.61
Element x y z (fractional)
Mg1 0.1899 0.8101 0.0000
Zr1 0.8251 0.1749 0.5000
Mg2 0.6727 0.3273 0.0000
Mg3 0.6589 0.8263 0.0000
Mo1 0.3293 0.6707 0.5000
Mg4 0.1737 0.3411 0.0000
Mg5 0.8251 0.6748 0.5000
Mg6 0.3252 0.1749 0.5000

---

The winner here is #A, beating the second structure by 0.056 eV/atom.

---

#A
This record from Alexandria describes a relaxed Mg14ZrMo crystal. The functional is PBE.

## Properties
DOS at the Fermi energy = 0.74 states/eV/atom

Lattice parameters (Å, degrees): 6.3410 6.3410 9.9614 90.00 90.00 120.00
Element x y z (fractional)
Mg1 0.0097 0.5048 0.0000
Mg2 0.4952 0.9903 0.0000
Mg3 0.1597 0.8403 0.7410
Mg4 0.1597 0.3194 0.2590
Mg5 0.5015 0.4985 0.5000
Mg6 0.6667 0.3333 0.7606
Mg7 0.6667 0.3333 0.2394
Mg8 0.1597 0.3194 0.7410
Mg9 0.6806 0.8403 0.2590
Mo1 0.0000 0.0000 0.5000
Mg10 0.1597 0.8403 0.2590
Mg11 0.6806 0.8403 0.7410
Mg12 0.9970 0.4985 0.5000
Mg13 0.4952 0.5048 0.0000
Zr1 0.0000 0.0000 0.0000
Mg14 0.5015 0.0030 0.5000

---

#B
This record from Alexandria describes a relaxed Mg14ZrMo crystal. The functional is PBE.

## Properties
DOS at the Fermi energy = 0.62 states/eV/atom

Lattice parameters (Å, degrees): 6.3702 6.3702 10.2052 90.00 90.00 123.07
Element x y z (fractional)
Mg1 0.1715 0.3373 0.2580
Mg2 0.6723 0.3277 0.7535
Mg3 0.6723 0.3277 0.2465
Mo1 0.3292 0.6708 0.5000
Mg4 0.8335 0.1665 0.0000
Mg5 0.6627 0.8285 0.7420
Zr1 0.8254 0.1746 0.5000
Mg6 0.6627 0.8285 0.2580
Mg7 0.3287 0.1674 0.0000
Mg8 0.1780 0.8220 0.2654
Mg9 0.1780 0.8220 0.7346
Mg10 0.3301 0.1786 0.5000
Mg11 0.3301 0.6699 0.0000
Mg12 0.1715 0.3373 0.7420
Mg13 0.8214 0.6699 0.5000
Mg14 0.8326 0.6713 0.0000

---

The winner here is #B, beating the second structure by 0.039 eV/atom.

---

#A
This record from Alexandria describes a relaxed Mg2N crystal. The functional is PBE.

## Properties
DOS at the Fermi energy = 0.52 states/eV/atom

Lattice parameters (Å, degrees): 4.4853 4.4853 4.2043 90.00 90.00 90.00
Element x y z (fractional)
Mg1 0.5000 0.5000 0.5000
Mg2 0.0000 0.0000 0.5000
N1 0.0000 0.5000 0.5001
Mg3 0.5000 0.0000 0.9999
N2 0.5000 0.0000 0.4999
Mg4 0.0000 0.5000 0.0001

---

#B
This record from Alexandria describes a relaxed Mg2N crystal. The functional is PBE.

## Properties
DOS at the Fermi energy = 0.40 states/eV/atom

Lattice parameters (Å, degrees): 3.2201 3.2201 5.3143 90.00 90.00 120.00
Element x y z (fractional)
Mg1 0.3333 0.6667 0.1974
N1 0.0000 0.0000 0.0000
Mg2 0.6667 0.3333 0.8026

---

#C
This record from Alexandria describes a relaxed Mg2N crystal. The functional is PBE.

## Properties
DOS at the Fermi energy = 0.19 states/eV/atom

Lattice parameters (Å, degrees): 3.2698 4.0840 7.3536 90.00 102.85 90.00
Element x y z (fractional)
Mg1 0.5852 0.7500 0.6711
Mg2 0.2168 0.2500 0.9332
Mg3 0.7832 0.7500 0.0668
Mg4 0.4148 0.2500 0.3289
N1 0.8188 0.2500 0.1371
N2 0.1812 0.7500 0.8629

---

The winner here is #C, beating the second structure by 0.043 eV/atom.

---

#A
This record from Alexandria describes a relaxed Mg3N2 crystal. The functional is PBE.

Lattice parameters (Å, degrees): 3.3049 6.9195 8.1526 100.45 90.00 103.82
Element x y z (fractional)
N1 0.9680 0.9360 0.1809
Mg1 0.5000 0.0000 0.0000
Mg2 0.1225 0.2449 0.2813
N2 0.3097 0.6194 0.8622
N3 0.6903 0.3806 0.1378
Mg3 0.5363 0.0726 0.6652
Mg4 0.4637 0.9274 0.3348
N4 0.3645 0.7290 0.5129
Mg5 0.2103 0.4205 0.6216
Mg6 0.8775 0.7551 0.7187
Mg7 0.8279 0.6557 0.0312
N5 0.6355 0.2710 0.4871
N6 0.0320 0.0640 0.8191
Mg8 0.1721 0.3443 0.9688
Mg9 0.7897 0.5795 0.3784

---

#B
This record from Alexandria describes a relaxed Mg3N2 crystal. The functional is PBE.

Lattice parameters (Å, degrees): 5.5189 5.5189 5.8546 61.88 61.88 60.00
Element x y z (fractional)
Mg1 0.3876 0.1150 0.7871
N1 0.5000 0.5000 0.5000
N2 0.2962 0.2962 0.1115
Mg2 0.8850 0.2897 0.2129
N3 0.7038 0.7038 0.8885
Mg3 0.7103 0.3876 0.7871
N4 0.0000 0.0000 0.0000
Mg4 0.2897 0.6124 0.2129
Mg5 0.6124 0.8850 0.2129
Mg6 0.1150 0.7103 0.7871

---

The winner here is #A, beating the second structure by 0.037 eV/atom.